Y2TcGeC PBE relaxed; SG = P4/mmm; size of the total moment = 0.00 μB per formula unit; density = 6.2 g cm⁻³; crystal system = tetragonal; N(E_F) = 4.15 states/eV per cell; formation enthalpy at 0 K = -0.4146 eV per atom
1.0
-4.360 -1.747 -1.387
-0.902 -1.405 4.604
-1.665 3.554 0.759
Y C Ge Tc
2 1 1 1
Direct
0.000 0.500 0.000 Y
0.500 0.000 0.000 Y
0.000 0.000 0.000 C
0.500 0.500 0.500 Ge
0.000 0.000 0.500 Tc